# 1
Here is Mg7ZnPt4 after structural relaxation from Alexandria via LeMat-Bulk. Energies are from PBE.

## Properties
magnetization: 0.000 μB per atom
density of states at the Fermi level: 8.53 states/eV/cell
formation energy: -502 meV per atom

abc: 12.973 4.770 9.285
angles: 90.00 127.27 90.00
Space group C2/m (No. 12)
Asymmetric unit:
Mg  0.000  0.000  0.000 x2
Mg  0.068  0.500  0.348 x4
Mg  0.177  0.000  0.620 x4
Mg  0.218  0.500  0.868 x4
Zn  0.000  0.500  0.000 x2
Pt  0.067  0.000  0.780 x4
Pt  0.198  0.000  0.346 x4

# 2
Here is MgZn2Pt after structural relaxation from Alexandria via LeMat-Bulk. Energies are from PBE.

## Properties
magnetization: 0.000 μB per atom
density of states at the Fermi level: 2.14 states/eV/cell
formation energy: -344 meV per atom

abc: 5.445 9.221 2.845
angles: 90.00 118.37 90.00
Space group C2/m (No. 12)
Asymmetric unit:
Mg  0.000  0.000  0.000 x2
Zn  0.250  0.250  0.500 x4
Pt  0.000  0.500  0.000 x2

# 3
Here is Mg2Zn2Pt after structural relaxation from Alexandria via LeMat-Bulk. Energies are from PBE.

## Properties
magnetization: 0.000 μB per atom
density of states at the Fermi level: 3.11 states/eV/cell
polymorph energy (0 for the lowest one): 99 meV/atom
formation energy: -223 meV per atom

abc: 3.416 3.416 15.669
angles: 90.00 90.00 90.00
Space group I4/mmm (No. 139)
Asymmetric unit:
Mg  0.000  0.000  0.091 x4
Zn  0.000  0.500  0.250 x4
Pt  0.000  0.000  0.500 x2

# 4
Here is Mg2Zn2Pt after structural relaxation from Alexandria via LeMat-Bulk. Energies are from PBE.

## Properties
magnetization: 0.000 μB per atom
density of states at the Fermi level: 7.32 states/eV/cell
polymorph energy (0 for the lowest one): 0 meV/atom
formation energy: -321 meV per atom

abc: 4.487 4.487 18.682
angles: 90.00 90.00 90.00
Space group I4_1/amd (No. 141, origin choice 2)
Asymmetric unit:
Mg  0.000  0.250  0.059 x8
Zn  0.000  0.250  0.210 x8
Pt  0.000  0.250  0.375 x4

# 5
Here is MgZn2Pt3 after structural relaxation from Alexandria via LeMat-Bulk. Energies are from PBE.

## Properties
magnetization: 0.000 μB per atom
density of states at the Fermi level: 1.60 states/eV/cell
polymorph energy (0 for the lowest one): 6 meV/atom
formation energy: -677 meV per atom

abc: 2.905 2.905 10.675
angles: 90.00 90.00 90.00
Space group P4/mmm (No. 123)
Asymmetric unit:
Mg  0.000  0.000  0.000 x1
Zn  0.000  0.000  0.337 x2
Pt  0.500  0.500  0.175 x2
Pt  0.500  0.500  0.500 x1

# 6
Here is Mg2Zn3Pt3 after structural relaxation from Alexandria via LeMat-Bulk. Energies are from PBE.

## Properties
magnetization: 0.000 μB per atom
density of states at the Fermi level: 2.93 states/eV/cell
formation energy: -542 meV per atom

abc: 4.608 11.460 4.674
angles: 90.00 90.00 90.00
Space group Pmmn (No. 59, origin choice 2)
Asymmetric unit:
Mg  0.250  0.121  0.148 x4
Zn  0.250  0.002  0.667 x4
Zn  0.250  0.750  0.669 x2
Pt  0.250  0.250  0.630 x2
Pt  0.250  0.618  0.177 x4

# 7
Here is MgZnPt6 after structural relaxation from Alexandria via LeMat-Bulk. Energies are from PBE.

## Properties
magnetization: 0.000 μB per atom
density of states at the Fermi level: 7.55 states/eV/cell
formation energy: -467 meV per atom

abc: 3.948 3.948 7.885
angles: 90.00 90.00 90.00
Space group P4/mmm (No. 123)
Asymmetric unit:
Mg  0.000  0.000  0.000 x1
Zn  0.000  0.000  0.500 x1
Pt  0.000  0.500  0.253 x4
Pt  0.500  0.500  0.000 x1
Pt  0.500  0.500  0.500 x1

# 8
Here is MgZnPt4 after structural relaxation from Alexandria via LeMat-Bulk. Energies are from PBE.

## Properties
magnetization: 0.000 μB per atom
density of states at the Fermi level: 3.36 states/eV/cell
polymorph energy (0 for the lowest one): 249 meV/atom
formation energy: -192 meV per atom

abc: 4.134 4.134 6.057
angles: 90.00 90.00 90.00
Space group P4/mmm (No. 123)
Asymmetric unit:
Mg  0.000  0.000  0.000 x1
Zn  0.500  0.500  0.500 x1
Pt  0.000  0.500  0.256 x4

# 9
Here is Mg2ZnPt after structural relaxation from Alexandria via LeMat-Bulk. Energies are from PBE.

## Properties
magnetization: 0.000 μB per atom
density of states at the Fermi level: 1.07 states/eV/cell
formation energy: -539 meV per atom

abc: 3.969 3.969 8.316
angles: 90.00 90.00 90.00
Space group I-4m2 (No. 119)
Asymmetric unit:
Mg  0.000  0.000  0.000 x2
Mg  0.000  0.500  0.250 x2
Zn  0.000  0.500  0.750 x2
Pt  0.000  0.000  0.500 x2

# 10
Here is MgZnPt after structural relaxation from Alexandria via LeMat-Bulk. Energies are from PBE.

## Properties
magnetization: 0.000 μB per atom
density of states at the Fermi level: 2.28 states/eV/cell
formation energy: -495 meV per atom

abc: 2.973 2.973 11.062
angles: 90.00 90.00 90.00
Space group I4mm (No. 107)
Asymmetric unit:
Mg  0.000  0.000  0.000 x2
Zn  0.000  0.000  0.308 x2
Pt  0.000  0.000  0.659 x2

# 11
Here is MgZn2Pt after structural relaxation from Alexandria via LeMat-Bulk. Energies are from PBE.

## Properties
magnetization: 0.000 μB per atom
density of states at the Fermi level: 1.50 states/eV/cell
formation energy: -516 meV per atom

abc: 3.886 3.886 8.049
angles: 90.00 90.00 90.00
Space group I4/mmm (No. 139)
Asymmetric unit:
Mg  0.000  0.000  0.000 x2
Zn  0.000  0.500  0.250 x4
Pt  0.000  0.000  0.500 x2

# 12
Here is MgZnPt after structural relaxation from Alexandria via LeMat-Bulk. Energies are from PBE.

## Properties
magnetization: 0.000 μB per atom
density of states at the Fermi level: 4.29 states/eV/cell
formation energy: -611 meV per atom

abc: 4.189 9.324 5.229
angles: 90.00 90.00 90.00
Space group Cmcm (No. 63)
Asymmetric unit:
Mg  0.000  0.212  0.250 x4
Zn  0.000  0.500  0.000 x4
Pt  0.000  0.086  0.750 x4

> What is the density of states at the Fermi level in the sixth record?

2.93 states/eV/cell

> Look up the magnetization of the second one.

0.000 μB per atom

> Which of these has the highest density of states at the Fermi level?

Mg7ZnPt4